Compound: Nd3SmY6
Source: the Alexandria database
Functional: GGA-PBE
Structure: optimized geometry

```
Nd3SmY6
1.0
5.502 -9.497 0.000
5.502 9.497 0.000
0.000 0.000 6.446
Nd Sm Y
6 2 12
direct
0.113 0.887 0.500 Nd
0.207 0.435 0.108 Nd
0.435 0.207 0.608 Nd
0.565 0.793 0.108 Nd
0.793 0.565 0.608 Nd
0.887 0.113 0.000 Nd
0.308 0.692 0.431 Sm
0.692 0.308 0.931 Sm
0.028 0.445 0.696 Y
0.124 0.212 0.519 Y
0.212 0.124 0.019 Y
0.232 0.768 0.909 Y
0.445 0.028 0.196 Y
0.461 0.539 0.709 Y
0.539 0.461 0.209 Y
0.555 0.972 0.696 Y
0.768 0.232 0.409 Y
0.788 0.876 0.519 Y
0.876 0.788 0.019 Y
0.972 0.555 0.196 Y
```

Output
**Calculated density**: 5.50 g/cm3
**ΔH_f (0 K)**: 0.14 eV per atom
**Polymorph energy (0 for the lowest one)**: 0.0 kJ/mol of atoms

=====

Compound: MnVCr
Source: the Alexandria database
Functional: GGA-PBE
Structure: optimized geometry

```
MnVCr
1.0
-1.433 1.433 4.313
1.433 -1.433 4.313
1.433 1.433 -4.313
Mn V Cr
1 1 1
direct
0.000 0.000 0.000 Mn
0.668 0.668 0.000 V
0.338 0.338 0.000 Cr
```

Output
**Calculated density**: 7.40 g/cm3
**ΔH_f (0 K)**: -0.11 eV per atom
**Polymorph energy (0 for the lowest one)**: 3.8 kJ/mol of atoms

=====

Compound: TbHoSbSe
Source: the Alexandria database
Functional: GGA-PBE
Structure: optimized geometry

```
TbHoSbSe
1.0
4.251 0.000 0.000
0.000 4.251 0.000
0.000 0.000 5.993
Tb Ho Sb Se
1 1 1 1
direct
0.000 0.000 0.000 Tb
0.500 0.500 0.500 Ho
0.500 0.500 0.000 Sb
0.000 0.000 0.500 Se
```

Output
**Electronic total energy**: -5.632 eV/atom
**Calculated density**: 8.04 g/cm3

=====

Compound: BiIrClO2
Source: the Alexandria database
Functional: GGA-PBE
Structure: optimized geometry

```
BiIrClO2
1.0
4.112 0.000 0.000
0.000 4.112 0.000
0.000 0.000 4.702
Bi Ir Cl O
1 1 1 2
direct
0.000 0.000 0.000 Bi
0.500 0.500 0.500 Ir
0.500 0.500 0.000 Cl
0.000 0.500 0.500 O
0.500 0.000 0.500 O
```

Output
**Electronic total energy**: -4.884 eV/atom
**Calculated density**: 9.79 g/cm3

=====

Q: Which value of calculated density does entry 3 give?
A: 8.04 g/cm3

=====

Please write out number 4 again, unchanged.
Compound: BiIrClO2
Source: the Alexandria database
Functional: GGA-PBE
Structure: optimized geometry

```
BiIrClO2
1.0
4.112 0.000 0.000
0.000 4.112 0.000
0.000 0.000 4.702
Bi Ir Cl O
1 1 1 2
direct
0.000 0.000 0.000 Bi
0.500 0.500 0.500 Ir
0.500 0.500 0.000 Cl
0.000 0.500 0.500 O
0.500 0.000 0.500 O
```

Output
**Electronic total energy**: -4.884 eV/atom
**Calculated density**: 9.79 g/cm3

=====

Q: Which of these has the highest calculated density?
A: BiIrClO2